## Hg2SeO3 (PBE)

Data for a relaxed structure of Hg2SeO3.

Output
VASP energy, eV/atom: -3.7111
Volume, Å³/cell: 439.2
Space group: P2_1/c

extended XYZ file:
```
24
Lattice="8.6146 0.0000 0.0000 0.0000 5.0353 0.0000 -6.0494 0.0000 10.1259" Properties=species:S:1:pos:R:3 pbc="T T T"
Hg -1.9313 1.1547 4.1219
Hg -4.9560 1.3629 9.1848
Hg 1.3515 1.0181 1.6192
Hg -1.6732 1.4995 6.6822
Hg 4.2384 3.5358 3.4437
Hg 1.2137 4.0171 8.5066
Hg 7.5211 3.6724 0.9411
Hg 4.4964 3.8805 6.0040
Se 0.6854 3.7330 3.8595
Se -2.3393 3.8199 8.9224
Se 4.9045 1.2153 1.2034
Se 1.8798 1.3023 6.2664
O -0.8326 3.3161 3.0928
O -3.8573 4.2368 8.1557
O 0.7049 0.4299 3.6995
O -2.3198 2.0877 8.7624
O 1.8182 3.3153 2.6434
O -1.2065 4.2376 7.7063
O 3.7717 0.7976 2.4196
O 0.7470 1.7200 7.4825
O 4.8850 2.9476 1.3635
O 1.8603 4.6053 6.4264
O 6.4224 0.7985 1.9701
O 3.3977 1.7192 7.0331
```

***

## Hg2SeO3 (PBE)

Data for a relaxed structure of Hg2SeO3.

Output
VASP energy, eV/atom: -3.7189
Volume, Å³/cell: 486.9
Space group: Ibam

extended XYZ file:
```
24
Lattice="-5.2566 5.9771 3.8746 5.2566 -5.9771 3.8746 5.2566 5.9771 -3.8746" Properties=species:S:1:pos:R:3 pbc="T T T"
Hg 3.4697 4.6900 -1.9984
Hg 1.7869 -1.2871 1.9984
Hg 1.7869 1.2871 1.8762
Hg 3.4697 7.2642 -1.8762
Hg 1.7869 -1.2871 5.7507
Hg 3.4697 4.6900 1.9984
Hg 3.4697 7.2642 1.8762
Hg 1.7869 1.2871 5.8730
Se 5.5712 2.3420 0.0000
Se 0.3146 3.6351 0.0000
Se 4.9420 2.3420 3.8746
Se -0.3146 3.6351 3.8746
O 6.6621 2.5280 -1.3523
O 6.6621 -2.5280 2.5222
O 4.8472 -3.8892 3.8746
O 4.8472 3.8892 0.0000
O 6.6621 2.5280 1.3523
O 1.4055 3.4491 1.3523
O 3.8511 2.5280 2.5222
O -1.4055 3.4491 2.5222
O 0.4094 2.0879 3.8746
O 0.4094 9.8663 0.0000
O -1.4055 8.5052 1.3523
O -1.4055 3.4491 5.2269
```

***

- The highest volume belongs to which entry?
  number 2

***

- Which value of VASP energy does entry 1 give?
  -3.7111 eV/atom